Below is crystalline Hf2MgI at its relaxed geometry, with properties calculated at the PBE-GGA level.

a b c (Å): 7.144 7.144 7.144
angles (deg): 90.00 90.00 90.00
Element x y z (fractional)
Hf 0.250 0.250 0.250
Hf 0.250 0.250 0.750
Hf 0.250 0.750 0.250
Hf 0.250 0.750 0.750
Hf 0.750 0.250 0.250
Hf 0.750 0.250 0.750
Hf 0.750 0.750 0.250
Hf 0.750 0.750 0.750
Mg 0.000 0.000 0.000
Mg 0.000 0.500 0.500
Mg 0.500 0.000 0.500
Mg 0.500 0.500 0.000
I 0.000 0.000 0.500
I 0.000 0.500 0.000
I 0.500 0.000 0.000
I 0.500 0.500 0.500

Calculated values
The formation energy (no corrections) is 483 meV/atom. As for the energy above the most stable polymorph in this dataset: 1.8 kJ/mol of atoms.